# 1
OsSe: relaxed, PBE.

Mass density: 13.0 Mg/m³
Total magnetization: 0.05 Bohr magnetons per cell
Electronic total energy: -6.21 eV/atom
V: 34.3 Å³ per cell

Cell: 3.6462 3.6462 3.6462 Å, 60.00 60.00 60.00°
Positions (direct):
Se 0.5000 0.5000 0.5000
Os 0.0000 0.0000 0.0000

***

# 2
DyAgSnS3: relaxed, PBE.

Mass density: 5.8 Mg/m³
Total magnetization: 0.01 Bohr magnetons per cell
V: 552.7 Å³ per cell
ΔE to the lowest computed polymorph: 0.22 eV per formula unit

Cell: 4.0381 13.0358 10.4991 Å, 90.00 90.00 90.00°
Positions (direct):
S 0.7499 0.1136 0.0316
S 0.2501 0.8928 0.5731
S 0.7499 0.8411 0.2620
S 0.7499 0.6589 0.7620
S 0.2501 0.6136 0.4684
S 0.7499 0.1072 0.4269
S 0.2501 0.6072 0.0731
S 0.2501 0.8864 0.9684
S 0.7499 0.3864 0.5316
S 0.2501 0.3411 0.2380
S 0.2501 0.1589 0.7380
S 0.7499 0.3928 0.9269
Ag 0.7499 0.2844 0.7345
Ag 0.2501 0.7156 0.2655
Ag 0.2501 0.7844 0.7655
Ag 0.7499 0.2156 0.2345
Dy 0.2501 0.2356 0.4790
Dy 0.2501 0.2644 0.9790
Dy 0.7499 0.7644 0.5210
Dy 0.7499 0.7356 0.0210
Sn 0.2501 0.9878 0.1998
Sn 0.7499 0.4878 0.3002
Sn 0.2501 0.5122 0.6998
Sn 0.7499 0.0122 0.8002